P.
{"formula": "Cd2Hg2Au", "functional": "PBE", "state": "optimized geometry", "rho_g_cm3": 11.27, "n_ef_per_ev_atom": 0.3724, "lattice_angstrom": [[4.082, 0.000, 0.000], [0.000, 4.082, 0.000], [2.041, 2.041, 7.278]], "species": ["Au", "Hg", "Hg", "Cd", "Cd"], "frac_coords": [[0.000, 0.000, 0.000], [0.405, 0.405, 0.191], [0.595, 0.595, 0.809], [0.750, 0.250, 0.500], [0.250, 0.750, 0.500]]}

***

Q.
{"formula": "Cd2Hg2Au", "functional": "PBE", "state": "optimized geometry", "rho_g_cm3": 11.13, "n_ef_per_ev_atom": 0.6063, "lattice_angstrom": [[-1.550, 3.767, 0.227], [-3.620, -1.553, 1.061], [-0.656, 1.472, 7.754]], "species": ["Au", "Hg", "Hg", "Cd", "Cd"], "frac_coords": [[0.000, 0.000, 0.000], [0.750, 0.250, 0.500], [0.250, 0.750, 0.500], [0.407, 0.407, 0.186], [0.593, 0.593, 0.814]]}

***

We find Q to be the most stable, with the next structure 51 meV per atom higher.